No. 1
Material: Dy4Zn
Method: DFT, GGA-PBE
State: relaxed

## Properties
uncorrected energy	-18.63	eV for the cell shown
magnetization	0.0000	μB/atom
N(E_F)	1.298	states/eV/atom
energy of formation from the pure elements	0.210	eV/atom

Lattice parameters (Å, degrees): 5.4502 5.4502 5.4502 90.00 90.00 90.00
Element x y z (fractional)
Dy  0.0000  0.0000  0.0000
Dy  0.0000  0.5000  0.5000
Dy  0.5000  0.0000  0.5000
Dy  0.5000  0.5000  0.0000
Zn  0.5000  0.5000  0.5000


No. 2
Material: Dy3Zn
Method: DFT, GGA-PBE
State: relaxed

## Properties
uncorrected energy	-15.72	eV for the cell shown
magnetization	0.0000	μB/atom
N(E_F)	1.018	states/eV/atom
energy of formation from the pure elements	-0.161	eV/atom

Lattice parameters (Å, degrees): 3.5586 3.5586 8.5845 90.00 90.00 90.00
Element x y z (fractional)
Dy  0.0000  0.0000  0.0000
Dy  0.5000  0.5000  0.2922
Dy  0.5000  0.5000  0.7078
Zn  0.0000  0.0000  0.5000


No. 3
Material: DyZn
Method: DFT, GGA-PBE
State: relaxed

## Properties
uncorrected energy	-6.55	eV for the cell shown
magnetization	0.0007	μB/atom
N(E_F)	1.275	states/eV/atom
energy of formation from the pure elements	-0.338	eV/atom

Lattice parameters (Å, degrees): 3.5691 3.5691 3.5691 90.00 90.00 90.00
Element x y z (fractional)
Dy  0.0000  0.0000  0.0000
Zn  0.5000  0.5000  0.5000


No. 4
Material: DyZrZn
Method: DFT, GGA-PBE
State: relaxed

## Properties
uncorrected energy	-14.37	eV for the cell shown
magnetization	0.0000	μB/atom
N(E_F)	0.595	states/eV/atom
energy of formation from the pure elements	0.017	eV/atom

Lattice parameters (Å, degrees): 4.8649 4.8649 3.4132 90.00 90.00 120.00
Element x y z (fractional)
Dy  0.0000  0.0000  0.0000
Zr  0.3333  0.6667  0.5013
Zn  0.6667  0.3333  0.4950


No. 5
Material: Dy4ZrZn5
Method: DFT, GGA-PBE
State: relaxed

## Properties
uncorrected energy	-36.43	eV for the cell shown
magnetization	0.0000	μB/atom
N(E_F)	1.152	states/eV/atom
energy of formation from the pure elements	-0.311	eV/atom

Lattice parameters (Å, degrees): 3.5288 3.5288 17.5208 90.00 90.00 90.00
Element x y z (fractional)
Dy  0.0000  0.0000  0.1032
Dy  0.0000  0.0000  0.3082
Dy  0.0000  0.0000  0.6918
Dy  0.0000  0.0000  0.8968
Zr  0.0000  0.0000  0.5000
Zn  0.5000  0.5000  0.0000
Zn  0.5000  0.5000  0.2060
Zn  0.5000  0.5000  0.4131
Zn  0.5000  0.5000  0.5869
Zn  0.5000  0.5000  0.7940


No. 6
Material: DyZrZn
Method: DFT, GGA-PBE
State: relaxed

## Properties
uncorrected energy	-30.03	eV for the cell shown
magnetization	0.0000	μB/atom
N(E_F)	0.847	states/eV/atom
energy of formation from the pure elements	-0.197	eV/atom

Lattice parameters (Å, degrees): 8.1628 8.1628 5.0296 90.00 90.00 155.97
Element x y z (fractional)
Dy  0.0859  0.9141  0.7500
Dy  0.9141  0.0859  0.2500
Zr  0.2252  0.7748  0.2500
Zr  0.7748  0.2252  0.7500
Zn  0.4292  0.5708  0.7500
Zn  0.5708  0.4292  0.2500


No. 7
Material: DyZr5Zn6
Method: DFT, GGA-PBE
State: relaxed

## Properties
uncorrected energy	-58.15	eV for the cell shown
magnetization	0.0000	μB/atom
N(E_F)	0.904	states/eV/atom
energy of formation from the pure elements	-0.263	eV/atom

Lattice parameters (Å, degrees): 8.2637 8.2637 8.2637 146.45 131.75 60.05
Element x y z (fractional)
Dy  0.0000  0.0000  0.0000
Zr  0.1667  0.6667  0.5000
Zr  0.3330  0.3330  0.0000
Zr  0.5000  0.0000  0.5000
Zr  0.6670  0.6670  0.0000
Zr  0.8333  0.3333  0.5000
Zn  0.0851  0.8307  0.2543
Zn  0.2591  0.5000  0.7591
Zn  0.4236  0.1693  0.2543
Zn  0.5764  0.8307  0.7457
Zn  0.7409  0.5000  0.2409
Zn  0.9149  0.1693  0.7457


No. 8
Material: DyZr3Zn8
Method: DFT, GGA-PBE
State: relaxed

## Properties
uncorrected energy	-43.65	eV for the cell shown
magnetization	0.2145	μB/atom
N(E_F)	0.885	states/eV/atom
energy of formation from the pure elements	-0.267	eV/atom

Lattice parameters (Å, degrees): 5.3333 5.3333 8.5187 90.00 90.00 120.00
Element x y z (fractional)
Dy  0.0000  0.0000  0.0000
Zr  0.0000  0.0000  0.3774
Zr  0.6667  0.3333  0.4988
Zr  0.6667  0.3333  0.8579
Zn  0.1629  0.3257  0.6800
Zn  0.1629  0.8371  0.6800
Zn  0.3333  0.6667  0.4326
Zn  0.3333  0.6667  0.9316
Zn  0.5059  0.0118  0.1880
Zn  0.5059  0.4941  0.1880
Zn  0.6743  0.8371  0.6800
Zn  0.9882  0.4941  0.1880


No. 9
Material: Dy2ZrZn3
Method: DFT, GGA-PBE
State: relaxed

## Properties
uncorrected energy	-23.32	eV for the cell shown
magnetization	0.0002	μB/atom
N(E_F)	1.265	states/eV/atom
energy of formation from the pure elements	-0.290	eV/atom

Lattice parameters (Å, degrees): 3.4927 3.4927 10.4404 90.00 90.00 90.00
Element x y z (fractional)
Dy  0.0000  0.0000  0.1743
Dy  0.0000  0.0000  0.8257
Zr  0.0000  0.0000  0.5000
Zn  0.5000  0.5000  0.0000
Zn  0.5000  0.5000  0.3520
Zn  0.5000  0.5000  0.6480


No. 10
Material: DyZr2Zn2
Method: DFT, GGA-PBE
State: relaxed

## Properties
uncorrected energy	-50.63	eV for the cell shown
magnetization	0.0000	μB/atom
N(E_F)	0.674	states/eV/atom
energy of formation from the pure elements	-0.214	eV/atom

Lattice parameters (Å, degrees): 12.8311 12.8311 4.9158 90.00 90.00 164.93
Element x y z (fractional)
Dy  0.1467  0.8533  0.7500
Dy  0.8533  0.1467  0.2500
Zr  0.0453  0.9547  0.2500
Zr  0.2339  0.7661  0.2500
Zr  0.7661  0.2339  0.7500
Zr  0.9547  0.0453  0.7500
Zn  0.3638  0.6362  0.7500
Zn  0.4523  0.5477  0.2500
Zn  0.5477  0.4523  0.7500
Zn  0.6362  0.3638  0.2500


No. 11
Material: Dy3ZrZn2
Method: DFT, GGA-PBE
State: relaxed

## Properties
uncorrected energy	-26.04	eV for the cell shown
magnetization	0.0000	μB/atom
N(E_F)	1.041	states/eV/atom
energy of formation from the pure elements	-0.190	eV/atom

Lattice parameters (Å, degrees): 3.4639 3.4639 12.0495 90.00 90.00 90.00
Element x y z (fractional)
Dy  0.0000  0.0000  0.0000
Dy  0.0000  0.0000  0.3112
Dy  0.0000  0.0000  0.6888
Zr  0.5000  0.5000  0.5000
Zn  0.5000  0.5000  0.1523
Zn  0.5000  0.5000  0.8477


No. 12
Material: DyZr2Zn3
Method: DFT, GGA-PBE
State: relaxed

## Properties
uncorrected energy	-27.19	eV for the cell shown
magnetization	0.0000	μB/atom
N(E_F)	0.798	states/eV/atom
energy of formation from the pure elements	-0.279	eV/atom

Lattice parameters (Å, degrees): 3.4298 3.4298 10.1294 90.00 90.00 90.00
Element x y z (fractional)
Dy  0.0000  0.0000  0.0000
Zr  0.0000  0.0000  0.3400
Zr  0.0000  0.0000  0.6600
Zn  0.5000  0.5000  0.1852
Zn  0.5000  0.5000  0.5000
Zn  0.5000  0.5000  0.8148


No. 13
Material: DyZrZn
Method: DFT, GGA-PBE
State: relaxed

## Properties
uncorrected energy	-14.89	eV for the cell shown
magnetization	0.0000	μB/atom
N(E_F)	0.894	states/eV/atom
energy of formation from the pure elements	-0.155	eV/atom

Lattice parameters (Å, degrees): 6.4180 6.4180 6.4180 149.39 149.39 43.83
Element x y z (fractional)
Dy  0.0000  0.0000  0.0000
Zr  0.3092  0.3092  0.0000
Zn  0.6703  0.6703  0.0000